Tc2HPt4 | GGA-PBE | relaxed Values from VASP.

Values from the calculation:
DFT total energy ... -6.536 eV per atom
Total moment ... 4.047 μB/cell
Crystal system ... tetragonal
Calculated volume ... 102.0 Å³ per cell

Quantum ESPRESSO input file:
```
&SYSTEM
  ibrav = 0, nat = 7, ntyp = 3
/
ATOMIC_SPECIES
Tc 98.00 Tc.upf
H 1.01 H.upf
Pt 195.08 Pt.upf
ATOMIC_POSITIONS crystal
Tc 0.159 0.159 0.000
Tc 0.841 0.841 0.000
H 0.500 0.500 0.000
Pt 0.000 0.500 0.500
Pt 0.341 0.341 0.000
Pt 0.500 0.000 0.500
Pt 0.659 0.659 0.000
CELL_PARAMETERS angstrom
-1.943 1.943 6.759
1.943 -1.943 6.759
1.943 1.943 -6.759
```